{
  "formula": "YGe2Rh3",
  "functional": "PBE",
  "state": "optimized geometry",
  "total_magnetization_mub_per_cell": 0.00,
  "dft_energy_ev_per_atom": -7.093,
  "cell": [[4.035, 0.000, 0.000], [-2.018, 7.774, -2.517], [0.000, 0.013, 9.805]],
  "species": ["Rh", "Rh", "Rh", "Rh", "Rh", "Rh", "Rh", "Rh", "Rh", "Ge", "Ge", "Ge", "Ge", "Ge", "Ge", "Y", "Y", "Y"],
  "fractional_positions": [[0.784, 0.568, 0.608], [0.039, 0.079, 0.330], [0.216, 0.432, 0.392], [0.381, 0.763, 0.804], [0.619, 0.237, 0.196], [0.500, 0.000, 0.500], [0.961, 0.921, 0.670], [0.320, 0.640, 0.041], [0.680, 0.360, 0.959], [0.193, 0.386, 0.127], [0.539, 0.077, 0.781], [0.807, 0.614, 0.873], [0.361, 0.723, 0.547], [0.639, 0.277, 0.453], [0.461, 0.923, 0.219], [0.000, 0.000, 0.000], [0.837, 0.674, 0.297], [0.163, 0.326, 0.703]]
}

{
  "formula": "Y2Ge7Rh12",
  "functional": "PBE",
  "state": "optimized geometry",
  "total_magnetization_mub_per_cell": 0.00,
  "dft_energy_ev_per_atom": -7.068,
  "cell": [[-1.504, 0.649, 3.547], [-9.120, -1.876, -3.524], [5.529, -7.408, 3.698]],
  "species": ["Y", "Y", "Rh", "Rh", "Rh", "Rh", "Rh", "Rh", "Rh", "Rh", "Rh", "Rh", "Rh", "Rh", "Ge", "Ge", "Ge", "Ge", "Ge", "Ge", "Ge"],
  "fractional_positions": [[0.500, 0.000, 0.000], [0.000, 0.667, 0.333], [0.000, 0.953, 0.222], [0.500, 0.893, 0.608], [0.500, 0.201, 0.426], [0.500, 0.392, 0.285], [0.500, 0.225, 0.799], [0.000, 0.485, 0.943], [0.000, 0.269, 0.047], [0.000, 0.057, 0.542], [0.500, 0.574, 0.775], [0.500, 0.715, 0.107], [0.000, 0.778, 0.731], [0.000, 0.458, 0.515], [0.500, 0.446, 0.071], [0.000, 0.333, 0.667], [0.000, 0.217, 0.265], [0.500, 0.929, 0.375], [0.500, 0.625, 0.554], [0.000, 0.735, 0.952], [0.000, 0.048, 0.783]]
}

{
  "formula": "Y2Ge4Rh5",
  "functional": "PBE",
  "state": "optimized geometry",
  "total_magnetization_mub_per_cell": 0.00,
  "dft_energy_ev_per_atom": -6.970,
  "cell": [[-1.193, 0.387, 5.515], [1.843, -3.842, 3.568], [5.540, 4.115, 3.810]],
  "species": ["Rh", "Rh", "Rh", "Rh", "Rh", "Ge", "Ge", "Ge", "Ge", "Y", "Y"],
  "fractional_positions": [[0.500, 0.000, 0.000], [0.750, 0.500, 0.500], [0.250, 0.500, 0.500], [0.500, 0.500, 0.000], [0.000, 0.500, 0.000], [0.786, 0.689, 0.738], [0.214, 0.311, 0.262], [0.476, 0.311, 0.738], [0.524, 0.689, 0.262], [0.124, 0.000, 0.751], [0.876, 0.000, 0.249]]
}

{
  "formula": "YGe2Rh4",
  "functional": "PBE",
  "state": "optimized geometry",
  "total_magnetization_mub_per_cell": 0.00,
  "dft_energy_ev_per_atom": -6.743,
  "cell": [[3.807, 0.275, -0.451], [0.072, 3.817, -0.451], [0.999, 1.054, 8.339]],
  "species": ["Ge", "Ge", "Rh", "Rh", "Rh", "Rh", "Y"],
  "fractional_positions": [[0.732, 0.732, 0.301], [0.268, 0.268, 0.699], [0.304, 0.304, 0.240], [0.756, 0.244, 0.500], [0.696, 0.696, 0.760], [0.244, 0.756, 0.500], [0.000, 0.000, 0.000]]
}

no.,DFT formation energy (eV per atom)
1,-0.801
2,-0.713
3,-0.774
4,-0.299